# 1
DFT (PBE-GGA) results for a relaxed structure of P2RuSN.

* E above lowest polymorph: 0.747 eV/atom
* DOS(E_F): 1.036 states/eV/atom
* ΔE_f (raw): 1.673 eV per atom

a = 4.552 Å, b = 4.552 Å, c = 4.451 Å
α = 90.00°, β = 90.00°, γ = 90.00°
Space group P4/mmm (No. 123)
One atom of each set of equivalent atoms:
1 P 0.000 0.500 0.000
2 Ru 0.000 0.000 0.000
3 S 0.000 0.000 0.500
4 N 0.500 0.500 0.500

---

# 2
DFT (PBE-GGA) results for a relaxed structure of Fe2BPb.

* energy relative to the elements: 1.076 eV per atom
* E above lowest polymorph: 0.335 eV/atom
* DOS(E_F): 0.852 states/eV/atom

a = 5.860 Å, b = 5.860 Å, c = 5.860 Å
α = 90.00°, β = 90.00°, γ = 90.00°
Space group Fm-3m (No. 225)
One atom of each set of equivalent atoms:
1 Fe 0.250 0.250 0.250
2 B 0.000 0.000 0.000
3 Pb 0.000 0.000 0.500

---

# 3
DFT (PBE-GGA) results for a relaxed structure of KCdRh2F.

* DOS(E_F): 0.690 states/eV/atom
* ΔE_f (raw): 0.446 eV per atom

a = 5.142 Å, b = 5.142 Å, c = 5.029 Å
α = 90.00°, β = 90.00°, γ = 90.00°
Space group P4/mmm (No. 123)
One atom of each set of equivalent atoms:
1 K 0.000 0.000 0.000
2 Cd 0.500 0.500 0.500
3 Rh 0.000 0.500 0.500
4 F 0.500 0.500 0.000

---

# 4
DFT (PBE-GGA) results for a relaxed structure of Ac6SiP4.

* DOS(E_F): 0.491 states/eV/atom
* ΔE_f (raw): -1.173 eV per atom

a = 4.437 Å, b = 14.513 Å, c = 22.379 Å
α = 90.00°, β = 90.00°, γ = 90.00°
Space group Cmcm (No. 63)
One atom of each set of equivalent atoms:
1 Ac 0.000 0.000 0.000
2 Ac 0.000 0.183 0.250
3 Ac 0.000 0.275 0.583
4 Ac 0.000 0.452 0.163
5 Si 0.000 0.161 0.750
6 P 0.000 0.089 0.128
7 P 0.000 0.362 0.043

---

# 5
DFT (PBE-GGA) results for a relaxed structure of BaPmSn2.

* energy relative to the elements: -0.491 eV per atom
* DOS(E_F): 0.730 states/eV/atom

a = 5.304 Å, b = 5.304 Å, c = 4.617 Å
α = 90.00°, β = 90.00°, γ = 90.00°
Space group P4/mmm (No. 123)
One atom of each set of equivalent atoms:
1 Ba 0.000 0.000 0.000
2 Pm 0.500 0.500 0.000
3 Sn 0.000 0.500 0.500

---

# 6
DFT (PBE-GGA) results for a relaxed structure of Rb3TmGa2O6.

* DOS(E_F): 0.000 states/eV/atom
* ΔE_f (raw): -1.998 eV per atom

a = 6.1482 Å, b = 6.1482 Å, c = 7.3866 Å
α = 90.00°, β = 90.00°, γ = 120.00°
Space group P-3m1 (No. 164)
One atom of each set of equivalent atoms:
1 Rb 0.0000 0.0000 0.0000
2 Rb 0.3333 0.6667 0.7526
3 Tm 0.0000 0.0000 0.5000
4 Ga 0.3333 0.6667 0.3116
5 O 0.1655 0.3311 0.3088

---

# 7
DFT (PBE-GGA) results for a relaxed structure of NiMoPCl2.

* E above lowest polymorph: 0.000 eV/atom
* DOS(E_F): 3.109 states/eV/atom
* ΔE_f (raw): 0.633 eV per atom

a = 4.760 Å, b = 4.760 Å, c = 4.784 Å
α = 90.00°, β = 90.00°, γ = 90.00°
Space group P4/mmm (No. 123)
One atom of each set of equivalent atoms:
1 Ni 0.000 0.000 0.000
2 Mo 0.500 0.500 0.500
3 P 0.500 0.500 0.000
4 Cl 0.000 0.500 0.500

---

# 8
DFT (PBE-GGA) results for a relaxed structure of AcP2Pd.

* energy relative to the elements: -0.884 eV per atom
* E above lowest polymorph: 0.086 eV/atom
* DOS(E_F): 0.212 states/eV/atom

a = 4.532 Å, b = 4.532 Å, c = 18.159 Å
α = 90.00°, β = 90.00°, γ = 90.00°
Space group P4_1 (No. 76)
One atom of each set of equivalent atoms:
1 Ac 0.148 0.769 0.000
2 P 0.126 0.646 0.381
3 P 0.224 0.370 0.732
4 Pd 0.250 0.630 0.607